Entry from the Alexandria database: a relaxed Nd6Ni2GeI3 crystal (PBE).

Properties
uncorrected energy	-58.3	eV for the cell shown
space group	No. 12
total magnetic moment	0.0	μB/cell
mass density	6.491	g/cm³

Cell and atoms, written as CIF:
```
data_Nd6Ni2GeI3
_cell_length_a 7.325
_cell_length_b 7.325
_cell_length_c 8.273
_cell_angle_alpha 98.52
_cell_angle_beta 98.52
_cell_angle_gamma 119.95
_symmetry_space_group_name_H-M 'P 1'
_symmetry_Int_Tables_number 1
loop_
_symmetry_equiv_pos_as_xyz
'x,y,z'
loop_
_atom_site_label
_atom_site_fract_x
_atom_site_fract_y
_atom_site_fract_z
_atom_site_occupancy
Nd1 0.086 0.435 0.809 1
Nd2 0.215 0.215 0.190 1
Nd3 0.435 0.086 0.809 1
Nd4 0.565 0.914 0.191 1
Nd5 0.785 0.785 0.810 1
Nd6 0.914 0.565 0.191 1
Ni1 0.167 0.833 0.000 1
Ni2 0.833 0.167 0.000 1
Ge1 0.500 0.500 0.000 1
I1 0.000 0.000 0.500 1
I2 0.339 0.661 0.500 1
I3 0.661 0.339 0.500 1
```